The following is a PBE with a Hubbard U calculation of a relaxed structure of CsCrAg2F6, from Alexandria via LeMat-Bulk.

The structure belongs to space group Pmmn (No. 59, origin choice 2); the cell edges are 6.0265, 9.0658 and 7.6589 Å and the angles 90.00°, 90.00° and 90.00°. The asymmetric unit holds Cs at (0.2500, 0.2500, 0.1430), Cr at (0.2500, 0.7500, 0.3584), Ag at (0.2500, 0.0836, 0.6259), F at (0.0054, 0.7500, 0.1887), F at (0.0264, 0.7500, 0.5410) and F at (0.2500, 0.5353, 0.3543).

The value obtained for the volume is 418.4 Å³ per cell. As for the total energy: -91.6 eV for the cell shown. Its magnetization is 2.91 μB/f.u.


The following is a PBE with a Hubbard U calculation of a relaxed structure of Cs2CrAgF6, from Alexandria via LeMat-Bulk.

The structure belongs to space group Fm-3m (No. 225); the cell edges are 8.9657, 8.9657 and 8.9657 Å and the angles 90.00°, 90.00° and 90.00°. The asymmetric unit holds Cs at (0.2500, 0.2500, 0.2500), Cr at (0.0000, 0.0000, 0.0000), Ag at (0.0000, 0.0000, 0.5000) and F at (0.0000, 0.0000, 0.2198).

The value obtained for the volume is 720.7 Å³ per cell. As for the total energy: -192.8 eV for the cell shown. Its magnetization is 2.93 μB/f.u.


What is the formula in the second record? Cs2CrAgF6